{"formula": "CuPt", "functional": "PBE", "state": "relaxed", "sg": "No. 10", "dos_at_fermi_per_ev_atom": 0.93, "ef_ev_per_atom": -0.123, "magmom_total_mub_per_cell": 0.000, "total_energy_ev_per_fu": -10.38, "cell": [[4.684, 0.000, 0.000], [0.000, 5.455, 0.000], [-0.077, 0.000, 6.586]], "species": ["Cu", "Cu", "Cu", "Cu", "Cu", "Cu", "Pt", "Pt", "Pt", "Pt", "Pt", "Pt"], "fractional_positions": [[0.000, 0.000, 0.000], [0.000, 0.500, 0.000], [0.332, 0.000, 0.671], [0.500, 0.241, 0.000], [0.500, 0.759, 0.000], [0.668, 0.000, 0.329], [0.168, 0.246, 0.322], [0.168, 0.754, 0.322], [0.334, 0.500, 0.681], [0.666, 0.500, 0.319], [0.832, 0.246, 0.678], [0.832, 0.754, 0.678]]}